Record 1
Computed, not measured: a geometry-optimized Zr2TiW structure at the PBE-GGA level of DFT.

Values from the calculation:
Energy relative to the elements ... 0.6378 eV per atom
M_tot ... 0.00 μB per atom
DOS at the Fermi energy ... 0.97 states/eV/atom

Cell: 6.0276 6.0276 6.0276 Å, 103.17 103.17 122.97°
Sites, in units of the cell vectors:
Zr (0.1199, 0.6250, 0.9949)
Zr (0.3750, 0.3699, 0.4949)
Zr (0.6301, 0.1250, 0.0051)
Zr (0.8750, 0.8801, 0.5051)
Ti (0.2500, 0.7500, 0.5000)
Ti (0.5000, 0.5000, 0.0000)
W (0.0000, 0.0000, 0.0000)
W (0.7500, 0.2500, 0.5000)


Record 2
Computed, not measured: a geometry-optimized Zr2TiW structure at the PBE-GGA level of DFT.

Values from the calculation:
Energy relative to the elements ... 0.1555 eV per atom
M_tot ... 0.00 μB per atom
DOS at the Fermi energy ... 1.79 states/eV/atom

Cell: 3.3654 3.3654 6.9432 Å, 90.00 90.00 90.00°
Sites, in units of the cell vectors:
Zr (0.0000, 0.0000, 0.2343)
Zr (0.0000, 0.0000, 0.7657)
Ti (0.5000, 0.5000, 0.5000)
W (0.5000, 0.5000, 0.0000)


Record 3
Computed, not measured: a geometry-optimized ZrTiW3 structure at the PBE-GGA level of DFT.

Values from the calculation:
Energy relative to the elements ... 1.4599 eV per atom
M_tot ... 0.00 μB per atom
DOS at the Fermi energy ... 1.21 states/eV/atom
Relative energy among the computed polymorphs ... 0.00 eV per formula unit

Cell: 4.6218 4.6218 4.6218 Å, 90.00 90.00 90.00°
Sites, in units of the cell vectors:
Zr (0.0000, 0.0000, 0.0000)
Ti (0.5000, 0.5000, 0.5000)
W (0.0000, 0.5000, 0.5000)
W (0.5000, 0.0000, 0.5000)
W (0.5000, 0.5000, 0.0000)


Record 4
Computed, not measured: a geometry-optimized ZrTi3W structure at the PBE-GGA level of DFT.

Values from the calculation:
Energy relative to the elements ... 1.5735 eV per atom
M_tot ... 0.00 μB per atom
DOS at the Fermi energy ... 1.52 states/eV/atom
Relative energy among the computed polymorphs ... 7.00 eV per formula unit

Cell: 4.6407 4.6407 4.6407 Å, 90.00 90.00 90.00°
Sites, in units of the cell vectors:
Zr (0.0000, 0.0000, 0.0000)
Ti (0.0000, 0.0000, 0.5000)
Ti (0.0000, 0.5000, 0.0000)
Ti (0.5000, 0.0000, 0.0000)
W (0.5000, 0.5000, 0.5000)


Record 5
Computed, not measured: a geometry-optimized Zr2Ti2W structure at the PBE-GGA level of DFT.

Values from the calculation:
Energy relative to the elements ... 0.3041 eV per atom
M_tot ... 0.00 μB per atom
DOS at the Fermi energy ... 1.16 states/eV/atom

Cell: 6.9511 6.9511 4.0708 Å, 90.00 90.00 90.00°
Sites, in units of the cell vectors:
Zr (0.1608, 0.3392, 0.0000)
Zr (0.3392, 0.8392, 0.0000)
Zr (0.6608, 0.1608, 0.0000)
Zr (0.8392, 0.6608, 0.0000)
Ti (0.1452, 0.6452, 0.5000)
Ti (0.3548, 0.1452, 0.5000)
Ti (0.6452, 0.8548, 0.5000)
Ti (0.8548, 0.3548, 0.5000)
W (0.0000, 0.0000, 0.5000)
W (0.5000, 0.5000, 0.5000)


Record 6
Computed, not measured: a geometry-optimized ZrTi3W structure at the PBE-GGA level of DFT.

Values from the calculation:
Energy relative to the elements ... 0.7487 eV per atom
M_tot ... 0.00 μB per atom
DOS at the Fermi energy ... 1.69 states/eV/atom
Relative energy among the computed polymorphs ... 2.88 eV per formula unit

Cell: 4.7620 4.7620 4.7620 Å, 90.00 90.00 90.00°
Sites, in units of the cell vectors:
Zr (0.0000, 0.0000, 0.0000)
Ti (0.0000, 0.5000, 0.5000)
Ti (0.5000, 0.0000, 0.5000)
Ti (0.5000, 0.5000, 0.0000)
W (0.5000, 0.5000, 0.5000)


Q: Which of these has the highest DOS at the Fermi energy?
A: number 2


Q: The highest energy relative to the elements belongs to which entry?
A: number 4


Repeat the sixth record exactly.
Computed, not measured: a geometry-optimized ZrTi3W structure at the PBE-GGA level of DFT.

Values from the calculation:
Energy relative to the elements ... 0.7487 eV per atom
M_tot ... 0.00 μB per atom
DOS at the Fermi energy ... 1.69 states/eV/atom
Relative energy among the computed polymorphs ... 2.88 eV per formula unit

Cell: 4.7620 4.7620 4.7620 Å, 90.00 90.00 90.00°
Sites, in units of the cell vectors:
Zr (0.0000, 0.0000, 0.0000)
Ti (0.0000, 0.5000, 0.5000)
Ti (0.5000, 0.0000, 0.5000)
Ti (0.5000, 0.5000, 0.0000)
W (0.5000, 0.5000, 0.5000)